# 1
DFT (PBE) results for crystalline As2P3 at its relaxed geometry.

Cell and atoms, written as extended XYZ:
```
5
Lattice="0.310 1.356 -3.202 -2.711 0.883 2.015 4.398 6.373 3.125" Properties=species:S:1:pos:R:3 pbc="T T T"
As 0.127 2.392 -0.878
As 1.870 6.220 2.816
P 0.000 0.000 0.000
P 1.869 4.917 0.360
P 0.128 3.695 1.578
```

The value obtained for the total energy is -4.79 eV/atom. The value obtained for the magnetization is 0.0000 μB/atom. Its space group is P-3m1. The formation energy is 0.32 eV per atom. Its density is 4.6 Mg/m³.

# 2
DFT (PBE) results for crystalline AsP3 at its relaxed geometry.

Cell and atoms, written as extended XYZ:
```
8
Lattice="-3.291 -5.109 -5.635 2.597 -2.259 0.531 -2.553 -1.726 5.140" Properties=species:S:1:pos:R:3 pbc="T T T"
As -1.230 -1.830 -1.772
As -1.208 -3.823 1.064
P -4.868 -5.632 -0.149
P -2.293 -5.898 -2.453
P -4.603 -5.863 -2.430
P -2.028 -6.130 -4.734
P -1.417 -1.492 0.584
P -1.395 -3.484 3.419
```

The value obtained for the total energy is -5.14 eV/atom. The value obtained for the magnetization is 0.0000 μB/atom. Its space group is Cm. The formation energy is 0.08 eV per atom. Its density is 3.3 Mg/m³.

# 3
DFT (PBE) results for crystalline AsP at its relaxed geometry.

Cell and atoms, written as extended XYZ:
```
4
Lattice="-0.923 1.723 2.511 2.219 -2.233 0.470 7.833 7.331 -2.150" Properties=species:S:1:pos:R:3 pbc="T T T"
As 7.516 7.035 -2.063
As 6.839 5.540 -0.209
P 3.457 3.235 -0.949
P 3.066 2.008 0.827
```

The value obtained for the total energy is -4.56 eV/atom. The value obtained for the magnetization is 0.0000 μB/atom. Its space group is Cmme. The formation energy is 0.47 eV per atom. Its density is 3.6 Mg/m³.